Entry from Alexandria: Ca2AgPt after structural relaxation (GGA-PBEsol).

```
Ca2AgPt
1.0
3.945 0.000 0.000
0.000 4.021 0.000
0.000 0.000 6.015
Ca Ag Pt
2 1 1
direct
0.000 0.000 0.000
0.500 0.500 0.380
0.500 0.500 0.845
0.000 0.000 0.505
```

Calculated values
Density of states at the Fermi level   2.36 states/eV per cell
V   95 Å³/cell
Energy of formation   -0.316 eV per atom
Mass density   6.7 Mg/m³